Material: Sr2MgSb3Pt4
Method: DFT, GGA-PBE
State: optimized geometry

Cell: 4.658 4.658 10.695 Å, 90.00 90.00 90.00°
Space group P-4m2 (No. 115)
Inequivalent atoms, fractional coordinates:
Sr: 0.000 0.500 0.242 (multiplicity 2)
Mg: 0.000 0.000 0.500 (multiplicity 1)
Sb: 0.000 0.500 0.872 (multiplicity 2)
Sb: 0.500 0.500 0.500 (multiplicity 1)
Pt: 0.000 0.000 0.000 (multiplicity 1)
Pt: 0.000 0.500 0.626 (multiplicity 2)
Pt: 0.500 0.500 0.000 (multiplicity 1)

Properties
- magnetic moment (μB per formula unit) = 0.00
- uncorrected formation energy (kJ/mol of atoms) = -81.1
- final energy (eV/atom) = -4.99
- mass density (kg/m3) = 9624
- Fermi-level density of states (states/eV per atom) = 0.3251



Material: MgSbTe2Pt
Method: DFT, GGA-PBE
State: optimized geometry

Cell: 5.543 5.543 5.035 Å, 90.00 90.00 90.00°
Space group P4/mmm (No. 123)
Inequivalent atoms, fractional coordinates:
Mg: 0.000 0.000 0.000 (multiplicity 1)
Sb: 0.500 0.500 0.000 (multiplicity 1)
Te: 0.000 0.500 0.500 (multiplicity 2)
Pt: 0.500 0.500 0.500 (multiplicity 1)

Properties
- magnetic moment (μB per formula unit) = 0.00
- uncorrected formation energy (kJ/mol of atoms) = 20.6
- final energy (eV/atom) = -3.39
- mass density (kg/m3) = 6401
- Fermi-level density of states (states/eV per atom) = 0.8514



Material: Mg2ScPt4
Method: DFT, GGA-PBE
State: optimized geometry

Cell: 4.072 4.072 14.805 Å, 90.00 90.00 90.00°
Space group I4/mmm (No. 139)
Inequivalent atoms, fractional coordinates:
Mg: 0.000 0.000 0.247 (multiplicity 4)
Sc: 0.000 0.000 0.500 (multiplicity 2)
Pt: 0.000 0.500 0.125 (multiplicity 8)

Properties
- magnetic moment (μB per formula unit) = 0.00
- final energy (eV/atom) = -5.63
- mass density (kg/m3) = 11821
- Fermi-level density of states (states/eV per atom) = 0.3762
- energy relative to the elements (eV/atom) = -0.814



Material: MgSc2Pt2
Method: DFT, GGA-PBE
State: optimized geometry

Cell: 7.402 10.153 5.390 Å, 90.00 90.00 90.00°
Space group Ibam (No. 72)
Inequivalent atoms, fractional coordinates:
Mg: 0.000 0.000 0.250 (multiplicity 4)
Sc: 0.148 0.325 0.000 (multiplicity 8)
Pt: 0.203 0.409 0.500 (multiplicity 8)

Properties
- magnetic moment (μB per formula unit) = 0.00
- final energy (eV/atom) = -6.19
- mass density (kg/m3) = 8271
- Fermi-level density of states (states/eV per atom) = 0.5518
- energy relative to the elements (eV/atom) = -0.919



Material: MgSc5Pt4
Method: DFT, GGA-PBE
State: optimized geometry

Cell: 3.296 3.296 17.522 Å, 90.00 90.00 90.00°
Space group P4/mmm (No. 123)
Inequivalent atoms, fractional coordinates:
Mg: 0.000 0.000 0.000 (multiplicity 1)
Sc: 0.500 0.500 0.123 (multiplicity 2)
Sc: 0.500 0.500 0.310 (multiplicity 2)
Sc: 0.500 0.500 0.500 (multiplicity 1)
Pt: 0.000 0.000 0.211 (multiplicity 2)
Pt: 0.000 0.000 0.403 (multiplicity 2)

Properties
- magnetic moment (μB per formula unit) = 0.00
- final energy (eV/atom) = -6.75
- mass density (kg/m3) = 8979
- Fermi-level density of states (states/eV per atom) = 0.7089
- energy relative to the elements (eV/atom) = -1.004



Material: MgSc2Pt4
Method: DFT, GGA-PBE
State: optimized geometry

Cell: 7.560 4.716 7.323 Å, 90.00 99.25 90.00°
Space group C2/m (No. 12)
Inequivalent atoms, fractional coordinates:
Mg: 0.000 0.000 0.000 (multiplicity 2)
Sc: 0.223 0.500 0.276 (multiplicity 4)
Pt: 0.099 0.000 0.365 (multiplicity 4)
Pt: 0.141 0.500 0.883 (multiplicity 4)

Properties
- magnetic moment (μB per formula unit) = 0.00
- final energy (eV/atom) = -6.46
- mass density (kg/m3) = 11529
- Fermi-level density of states (states/eV per atom) = 0.3264
- energy relative to the elements (eV/atom) = -0.967



Material: Mg4ScPt
Method: DFT, GGA-PBE
State: optimized geometry

Cell: 7.820 7.820 7.820 Å, 90.00 90.00 90.00°
Space group F-43m (No. 216)
Inequivalent atoms, fractional coordinates:
Mg: 0.125 0.125 0.125 (multiplicity 16)
Sc: 0.000 0.000 0.500 (multiplicity 4)
Pt: 0.250 0.250 0.750 (multiplicity 4)

Properties
- magnetic moment (μB per formula unit) = 0.88
- final energy (eV/atom) = -3.16
- mass density (kg/m3) = 4684
- Fermi-level density of states (states/eV per atom) = 0.7556
- energy relative to the elements (eV/atom) = -0.037



Material: Mg2ScPt
Method: DFT, GGA-PBE
State: optimized geometry

Cell: 11.124 3.323 4.712 Å, 90.00 114.83 90.00°
Space group C2/m (No. 12)
Inequivalent atoms, fractional coordinates:
Mg: 0.214 0.000 0.214 (multiplicity 4)
Sc: 0.000 0.000 0.500 (multiplicity 2)
Pt: 0.000 0.500 0.000 (multiplicity 2)

Properties
- magnetic moment (μB per formula unit) = 0.00
- final energy (eV/atom) = -4.42
- mass density (kg/m3) = 6063
- Fermi-level density of states (states/eV per atom) = 0.7863
- energy relative to the elements (eV/atom) = -0.533



Material: MgSc4Pt5
Method: DFT, GGA-PBE
State: optimized geometry

Cell: 3.255 3.255 16.586 Å, 90.00 90.00 90.00°
Space group P4/mmm (No. 123)
Inequivalent atoms, fractional coordinates:
Mg: 0.000 0.000 0.000 (multiplicity 1)
Sc: 0.000 0.000 0.192 (multiplicity 2)
Sc: 0.000 0.000 0.397 (multiplicity 2)
Pt: 0.500 0.500 0.098 (multiplicity 2)
Pt: 0.500 0.500 0.296 (multiplicity 2)
Pt: 0.500 0.500 0.500 (multiplicity 1)

Properties
- magnetic moment (μB per formula unit) = 0.00
- final energy (eV/atom) = -6.90
- mass density (kg/m3) = 11148
- Fermi-level density of states (states/eV per atom) = 0.4460
- energy relative to the elements (eV/atom) = -1.183



Material: Mg8ScPt6
Method: DFT, GGA-PBE
State: optimized geometry

Cell: 7.7583 7.7583 16.4310 Å, 90.00 90.00 120.00°
Space group R-3 (No. 148, hexagonal axes)
Inequivalent atoms, fractional coordinates:
Mg: 0.0000 0.0000 0.1669 (multiplicity 6)
Mg: 0.0010 0.6702 0.7160 (multiplicity 18)
Sc: 0.0000 0.0000 0.5000 (multiplicity 3)
Pt: 0.0003 0.3324 0.1152 (multiplicity 18)

Properties
- magnetic moment (μB per formula unit) = 0.00
- final energy (eV/atom) = -4.47
- mass density (kg/m3) = 8200
- Fermi-level density of states (states/eV per atom) = 0.3820
- energy relative to the elements (eV/atom) = -0.784



Material: MgSc5Pt
Method: DFT, GGA-PBE
State: optimized geometry

Cell: 8.616 8.704 10.096 Å, 90.00 113.06 90.00°
Space group C2/c (No. 15)
Inequivalent atoms, fractional coordinates:
Mg: 0.000 0.074 0.250 (multiplicity 4)
Sc: 0.000 0.401 0.250 (multiplicity 4)
Sc: 0.124 0.256 0.688 (multiplicity 8)
Sc: 0.211 0.431 0.014 (multiplicity 8)
Pt: 0.250 0.250 0.500 (multiplicity 4)

Properties
- magnetic moment (μB per formula unit) = 0.00
- final energy (eV/atom) = -5.73
- mass density (kg/m3) = 4235
- Fermi-level density of states (states/eV per atom) = 1.4249
- energy relative to the elements (eV/atom) = -0.113



Material: Mg2ScPt
Method: DFT, GGA-PBE
State: optimized geometry

Cell: 5.612 9.220 2.966 Å, 90.00 90.00 90.00°
Space group Cmmm (No. 65)
Inequivalent atoms, fractional coordinates:
Mg: 0.250 0.250 0.000 (multiplicity 4)
Sc: 0.000 0.000 0.500 (multiplicity 2)
Pt: 0.000 0.500 0.500 (multiplicity 2)

Properties
- magnetic moment (μB per formula unit) = 0.19
- final energy (eV/atom) = -4.21
- mass density (kg/m3) = 6247
- Fermi-level density of states (states/eV per atom) = 0.6476
- energy relative to the elements (eV/atom) = -0.323



Material: MgScPt4
Method: DFT, GGA-PBE
State: optimized geometry

Cell: 9.630 2.880 7.790 Å, 90.00 114.05 90.00°
Space group C2/m (No. 12)
Inequivalent atoms, fractional coordinates:
Mg: 0.000 0.000 0.000 (multiplicity 2)
Sc: 0.000 0.000 0.500 (multiplicity 2)
Pt: 0.163 0.500 0.832 (multiplicity 4)
Pt: 0.164 0.500 0.332 (multiplicity 4)

Properties
- magnetic moment (μB per formula unit) = 0.00
- final energy (eV/atom) = -6.10
- mass density (kg/m3) = 14304
- Fermi-level density of states (states/eV per atom) = 0.6628
- energy relative to the elements (eV/atom) = -0.752



Material: Mg2ScPt
Method: DFT, GGA-PBE
State: optimized geometry

Cell: 8.158 4.702 4.701 Å, 90.00 125.09 90.00°
Space group Cm (No. 8)
Inequivalent atoms, fractional coordinates:
Mg: 0.000 0.000 0.000 (multiplicity 2)
Mg: 0.250 0.000 0.750 (multiplicity 2)
Sc: 0.000 0.500 0.500 (multiplicity 2)
Pt: 0.250 0.500 0.250 (multiplicity 2)

Properties
- magnetic moment (μB per formula unit) = 0.00
- final energy (eV/atom) = -4.50
- mass density (kg/m3) = 6496
- Fermi-level density of states (states/eV per atom) = 0.8344
- energy relative to the elements (eV/atom) = -0.610



Material: Mg2ScPt2
Method: DFT, GGA-PBE
State: optimized geometry

Cell: 3.842 3.842 12.766 Å, 90.00 90.00 90.00°
Space group I4/mmm (No. 139)
Inequivalent atoms, fractional coordinates:
Mg: 0.000 0.500 0.250 (multiplicity 4)
Sc: 0.000 0.000 0.000 (multiplicity 2)
Pt: 0.000 0.000 0.397 (multiplicity 4)

Properties
- magnetic moment (μB per formula unit) = 0.00
- final energy (eV/atom) = -5.06
- mass density (kg/m3) = 8524
- Fermi-level density of states (states/eV per atom) = 0.5197
- energy relative to the elements (eV/atom) = -0.735



Material: MgSc4Pt
Method: DFT, GGA-PBE
State: optimized geometry

Cell: 8.009 8.009 8.009 Å, 90.00 90.00 90.00°
Space group F-43m (No. 216)
Inequivalent atoms, fractional coordinates:
Mg: 0.000 0.000 0.000 (multiplicity 4)
Sc: 0.124 0.124 0.376 (multiplicity 16)
Pt: 0.250 0.250 0.750 (multiplicity 4)

Properties
- magnetic moment (μB per formula unit) = 0.00
- final energy (eV/atom) = -5.37
- mass density (kg/m3) = 5162
- Fermi-level density of states (states/eV per atom) = 1.1793
- energy relative to the elements (eV/atom) = 0.122



Material: Mg2ScPt2
Method: DFT, GGA-PBE
State: optimized geometry

Cell: 7.730 7.730 2.916 Å, 90.00 90.00 90.00°
Space group P4/mbm (No. 127)
Inequivalent atoms, fractional coordinates:
Mg: 0.124 0.376 0.000 (multiplicity 4)
Sc: 0.000 0.000 0.000 (multiplicity 2)
Pt: 0.175 0.675 0.500 (multiplicity 4)

Properties
- magnetic moment (μB per formula unit) = 0.31
- final energy (eV/atom) = -5.09
- mass density (kg/m3) = 9220
- Fermi-level density of states (states/eV per atom) = 0.6049
- energy relative to the elements (eV/atom) = -0.773



Material: MgSc3Pt2
Method: DFT, GGA-PBE
State: optimized geometry

Cell: 6.339 12.804 6.650 Å, 90.00 90.00 90.00°
Space group Ibam (No. 72)
Inequivalent atoms, fractional coordinates:
Mg: 0.000 0.000 0.000 (multiplicity 4)
Sc: 0.000 0.225 0.250 (multiplicity 8)
Sc: 0.000 0.500 0.250 (multiplicity 4)
Pt: 0.200 0.359 0.000 (multiplicity 8)

Properties
- magnetic moment (μB per formula unit) = 0.00
- final energy (eV/atom) = -6.26
- mass density (kg/m3) = 6761
- Fermi-level density of states (states/eV per atom) = 0.9183
- energy relative to the elements (eV/atom) = -0.813



Material: MgSc2Pt3
Method: DFT, GGA-PBE
State: optimized geometry

Cell: 3.248 3.248 9.866 Å, 90.00 90.00 90.00°
Space group P4/mmm (No. 123)
Inequivalent atoms, fractional coordinates:
Mg: 0.000 0.000 0.000 (multiplicity 1)
Sc: 0.000 0.000 0.327 (multiplicity 2)
Pt: 0.500 0.500 0.165 (multiplicity 2)
Pt: 0.500 0.500 0.500 (multiplicity 1)

Properties
- magnetic moment (μB per formula unit) = 0.00
- final energy (eV/atom) = -6.54
- mass density (kg/m3) = 11157
- Fermi-level density of states (states/eV per atom) = 0.4401
- energy relative to the elements (eV/atom) = -1.140



Material: Mg3Sc2Pt4
Method: DFT, GGA-PBE
State: optimized geometry

Cell: 8.350 4.326 8.677 Å, 90.00 97.99 90.00°
Space group C2/m (No. 12)
Inequivalent atoms, fractional coordinates:
Mg: 0.000 0.000 0.000 (multiplicity 2)
Mg: 0.157 0.500 0.571 (multiplicity 4)
Sc: 0.171 0.500 0.211 (multiplicity 4)
Pt: 0.014 0.000 0.332 (multiplicity 4)
Pt: 0.165 0.500 0.889 (multiplicity 4)

Properties
- magnetic moment (μB per formula unit) = 0.00
- final energy (eV/atom) = -5.57
- mass density (kg/m3) = 10092
- Fermi-level density of states (states/eV per atom) = 0.4443
- energy relative to the elements (eV/atom) = -0.950